No. 1
DFT (PBE-GGA) results for a relaxed Zr2TiCdC crystal.

Calculated values
- Magnetization: 0.00 μB per formula unit
- ΔE_f: -422 meV/atom
- V: 17.95 Å³ per atom
- Space group: P4/mmm, No. 123

Structure (POSCAR):
```
Zr2TiCdC
1.0
4.5846 0.0000 0.0000
0.0000 4.5846 0.0000
0.0000 0.0000 4.2713
Cd C Zr Ti
1 1 2 1
Direct
0.5000 0.5000 0.5000
0.0000 0.0000 0.0000
0.0000 0.5000 0.0000
0.5000 0.0000 0.0000
0.0000 0.0000 0.5000
```

***

No. 2
DFT (PBE-GGA) results for a relaxed TlCd2C crystal.

Calculated values
- Magnetization: 0.00 μB per formula unit
- Relative energy among the computed polymorphs: 0.0 meV/atom
- ΔE_f: 854 meV/atom
- V: 28.98 Å³ per atom
- Space group: I4_1/amd, No. 141

Structure (POSCAR):
```
TlCd2C
1.0
6.9063 0.0000 0.0000
0.0000 6.9063 0.0000
3.4531 3.4531 4.8608
Cd Tl C
4 2 2
Direct
0.3749 0.1250 0.2500
0.3751 0.6250 0.2500
0.8750 0.6249 0.7500
0.3750 0.6251 0.7500
0.0000 0.0000 0.0000
0.7500 0.2500 0.5000
0.2500 0.7500 0.5000
0.5000 0.5000 0.0000
```